No. 1
Compound: LaTaFe2
Source: the Alexandria database
Functional: GGA-PBE
Structure: relaxed

a b c (Å): 6.7411 6.7411 6.7411
angles (deg): 152.65 146.03 44.15
Last column: nearest neighbours and their distance in Å.
Fractional positions:
1 La 0.0000 0.0000 0.0000  6 Fe 3.01-3.32, 2 La 3.19
2 Ta 0.2697 0.7697 0.5000  6 Fe 2.53-2.64
3 Fe 0.6296 0.6296 0.0000  2 Fe 2.34
4 Fe 0.7666 0.2666 0.5000  2 Fe 2.34, 4 Ta 2.53

No. 2
Compound: LaTaFe3
Source: the Alexandria database
Functional: GGA-PBE
Structure: relaxed

a b c (Å): 4.6864 4.6864 4.6864
angles (deg): 90.00 90.00 90.00
Last column: nearest neighbours and their distance in Å.
Fractional positions:
1 La 0.0000 0.0000 0.0000  12 Fe 3.31
2 Ta 0.5000 0.5000 0.5000  6 Fe 2.34
3 Fe 0.0000 0.5000 0.5000  2 Ta 2.34
4 Fe 0.5000 0.0000 0.5000  2 Ta 2.34
5 Fe 0.5000 0.5000 0.0000  2 Ta 2.34

Computed properties:
- Energy above the lowest structure with this stoichiometry: 0.000 eV per atom

No. 3
Compound: LaTaFe2
Source: the Alexandria database
Functional: GGA-PBE
Structure: relaxed

a b c (Å): 3.1010 3.1130 7.0939
angles (deg): 90.00 92.47 90.00
Last column: nearest neighbours and their distance in Å.
Fractional positions:
1 La 0.0000 0.0000 0.0000  8 Fe 3.01-3.15, 4 La 3.10-3.11
2 Ta 0.0000 0.0000 0.5000  8 Fe 2.59-2.61
3 Fe 0.4851 0.5000 0.3042  4 Ta 2.59-2.61, 1 Fe 2.78
4 Fe 0.5149 0.5000 0.6958  4 Ta 2.59-2.61, 1 Fe 2.78

No. 4
Compound: LaTa2Fe
Source: the Alexandria database
Functional: GGA-PBE
Structure: relaxed

a b c (Å): 3.1316 3.1311 7.9918
angles (deg): 90.00 90.10 90.00
Last column: nearest neighbours and their distance in Å.
Fractional positions:
1 La 0.0000 0.0000 0.0000  4 La 3.13, 8 Ta 3.37-3.38
2 Ta 0.4971 0.5000 0.3183  4 Fe 2.64-2.65, 1 Ta 2.90
3 Ta 0.5029 0.5000 0.6817  4 Fe 2.64-2.65, 1 Ta 2.90
4 Fe 0.0000 0.0000 0.5000  8 Ta 2.64-2.65

Computed properties:
- Energy above the lowest structure with this stoichiometry: 0.065 eV per atom

No. 5
Compound: LaTb3Fe
Source: the Alexandria database
Functional: GGA-PBE
Structure: relaxed

a b c (Å): 5.3375 5.3375 5.3375
angles (deg): 90.00 90.00 90.00
Last column: nearest neighbours and their distance in Å.
Fractional positions:
1 La 0.0000 0.0000 0.0000  12 Tb 3.77
2 Tb 0.0000 0.5000 0.5000  2 Fe 2.67
3 Tb 0.5000 0.0000 0.5000  2 Fe 2.67
4 Tb 0.5000 0.5000 0.0000  2 Fe 2.67
5 Fe 0.5000 0.5000 0.5000  6 Tb 2.67

No. 6
Compound: La2TbFe9
Source: the Alexandria database
Functional: GGA-PBE
Structure: relaxed

a b c (Å): 8.8412 8.8412 8.8412
angles (deg): 33.92 33.92 33.92
Last column: nearest neighbours and their distance in Å.
Fractional positions:
1 La 0.1411 0.1411 0.1411  12 Fe 3.01-3.21, 3 La 3.24
2 La 0.8589 0.8589 0.8589  12 Fe 3.01-3.21, 3 La 3.24
3 Tb 0.0000 0.0000 0.0000  18 Fe 2.98-3.24
4 Fe 0.0825 0.5770 0.5770  7 Fe 2.47-2.64
5 Fe 0.3329 0.3329 0.3329  6 Fe 2.47
6 Fe 0.4230 0.4230 0.9175  7 Fe 2.47-2.64
7 Fe 0.4230 0.9175 0.4230  7 Fe 2.47-2.64
8 Fe 0.5000 0.5000 0.5000  6 Fe 2.64
9 Fe 0.5770 0.0825 0.5770  7 Fe 2.47-2.64
10 Fe 0.5770 0.5770 0.0825  7 Fe 2.47-2.64
11 Fe 0.6671 0.6671 0.6671  6 Fe 2.47
12 Fe 0.9175 0.4230 0.4230  7 Fe 2.47-2.64

No. 7
Compound: LaTb2Fe
Source: the Alexandria database
Functional: GGA-PBE
Structure: relaxed

a b c (Å): 3.3886 3.3886 9.3433
angles (deg): 90.00 90.00 90.00
Last column: nearest neighbours and their distance in Å.
Fractional positions:
1 La 0.0000 0.0000 0.0000  4 La 3.39
2 Tb 0.5000 0.5000 0.3278  4 Fe 2.89, 1 Tb 3.22
3 Tb 0.5000 0.5000 0.6722  4 Fe 2.89, 1 Tb 3.22
4 Fe 0.0000 0.0000 0.5000  8 Tb 2.89

Computed properties:
- Energy above the lowest structure with this stoichiometry: 0.000 eV per atom

No. 8
Compound: LaTbFe
Source: the Alexandria database
Functional: GGA-PBE
Structure: relaxed

a b c (Å): 7.0730 7.0730 7.3943
angles (deg): 90.00 90.00 119.59
Last column: nearest neighbours and their distance in Å.
Fractional positions:
1 La 0.2006 0.7994 0.8868  2 Fe 2.79-2.89
2 La 0.2994 0.7006 0.3868  2 Fe 2.79-2.89
3 La 0.7006 0.2994 0.6132  2 Fe 2.79-2.89
4 La 0.7994 0.2006 0.1132  2 Fe 2.79-2.89
5 Tb 0.2123 0.2877 0.7500  4 Fe 2.83-2.87
6 Tb 0.2877 0.2123 0.2500  4 Fe 2.83-2.87
7 Tb 0.7123 0.7877 0.7500  4 Fe 2.83-2.87
8 Tb 0.7877 0.7123 0.2500  4 Fe 2.83-2.87
9 Fe 0.0910 0.9090 0.5410  1 Fe 2.31
10 Fe 0.4090 0.5910 0.0410  1 Fe 2.31
11 Fe 0.5910 0.4090 0.9590  1 Fe 2.31
12 Fe 0.9090 0.0910 0.4590  1 Fe 2.31

Computed properties:
- Energy above the lowest structure with this stoichiometry: 0.000 eV per atom

| no. | energy of formation (eV/atom) |
| --- | --- |
| 1 | 0.366 |
| 2 | 0.784 |
| 3 | 0.139 |
| 4 | 0.279 |
| 5 | 0.109 |
| 6 | 0.023 |
| 7 | 0.095 |
| 8 | 0.072 |